1.
# NiIN2F

An optimized crystal structure of NiIN2F (PBE with a Hubbard U, Alexandria via LeMat-Bulk).

It has space group P4/mmm (No. 123), with a = 4.114 Å, b = 4.114 Å, c = 4.350 Å, α = 90.00°, β = 90.00° and γ = 90.00°. The inequivalent atoms are Ni at (0.000, 0.000, 0.000), I at (0.500, 0.500, 0.500), N at (0.000, 0.500, 0.500) and F at (0.500, 0.500, 0.000).

The total magnetic moment comes out at 1.96 μB/cell. Its total energy is -14.74 eV for the cell shown.

---

2.
# NiIN2F

An optimized crystal structure of NiIN2F (PBE with a Hubbard U, Alexandria via LeMat-Bulk).

It has space group P4/mmm (No. 123), with a = 3.626 Å, b = 3.626 Å, c = 6.630 Å, α = 90.00°, β = 90.00° and γ = 90.00°. The inequivalent atoms are Ni at (0.000, 0.000, 0.000), I at (0.000, 0.000, 0.500), N at (0.000, 0.500, 0.000) and F at (0.500, 0.500, 0.500).

The total magnetic moment comes out at 4.04 μB/cell. Its total energy is -16.25 eV for the cell shown.

---

Q: The highest total magnetic moment belongs to which entry?
A: number 2

---

Q: Number 1 is which compound?
A: NiIN2F